Material: KZrMoO6
Method: DFT, GGA+U
State: optimized geometry

Values from the calculation:
Energy (eV for the cell shown): -129.26
Volume (Å³/atom): 17.363

a b c (Å): 5.583 9.778 5.729
angles (deg): 90.00 92.12 90.00
Space group C2 (No. 5)
One atom of each set of equivalent atoms:
K 0.000 0.000 0.000
Zr 0.000 0.317 0.500
Mo 0.000 0.680 0.500
O 0.088 0.507 0.333
O 0.173 0.790 0.297
O 0.209 0.194 0.301